a:
4
Lattice="3.551 0.000 0.000 0.000 3.551 0.000 0.000 0.000 8.737" Properties=species:S:1:pos:R:3 comment="YEr2Au (PBE, relaxed)" vol_a3_per_fu=110.19 magnetic_moment_mub_per_cell=0.00 pbc="T T T"
Er 0.000 0.000 6.958
Au 1.776 1.776 0.000
Y 1.776 1.776 4.369
Er 0.000 0.000 1.779

---

b:
8
Lattice="4.843 0.002 0.000 -2.420 5.838 0.000 0.000 0.000 7.945" Properties=species:S:1:pos:R:3 comment="YEr2Au (PBE, relaxed)" vol_a3_per_fu=112.34 magnetic_moment_mub_per_cell=0.00 pbc="T T T"
Au 0.000 2.452 1.986
Er 2.422 1.697 3.654
Y 2.424 5.304 1.986
Er 0.002 4.143 4.292
Er 2.422 1.697 0.319
Au 2.423 3.388 5.959
Y -0.001 0.536 5.959
Er 0.002 4.143 7.626

---

c:
4
Lattice="3.672 0.000 0.000 1.836 3.180 0.000 1.836 1.060 9.904" Properties=species:S:1:pos:R:3 comment="YEr2Au (PBE, relaxed)" vol_a3_per_fu=115.62 magnetic_moment_mub_per_cell=0.00 pbc="T T T"
Er 5.507 3.180 7.840
Au 0.000 0.000 0.000
Y 3.672 2.120 4.952
Er 1.836 1.060 2.064

---

Most stable to least stable, the ends of the list are b and c.

---

a:
4
Lattice="5.078 0.000 0.000 2.539 4.398 0.000 2.539 1.466 4.146" Properties=species:S:1:pos:R:3 comment="YErAu2 (PBE, relaxed)" vol_a3_per_fu=92.59 magnetic_moment_mub_per_cell=0.00 pbc="T T T"
Au 2.539 1.466 1.037
Er 5.078 2.932 2.073
Au 7.617 4.398 3.110
Y 0.000 0.000 0.000

---

b:
4
Lattice="3.473 0.000 -1.260 0.000 4.693 0.000 0.149 0.000 5.786" Properties=species:S:1:pos:R:3 comment="YErAu2 (PBE, relaxed)" vol_a3_per_fu=95.19 magnetic_moment_mub_per_cell=0.00 pbc="T T T"
Au 3.534 0.000 1.806
Er 2.649 0.000 4.771
Y 1.605 2.347 1.903
Au 0.728 2.347 4.889

---

Most stable to least stable, the ends of the list are b and a.

---

a:
4
Lattice="3.572 0.000 0.000 0.000 3.572 0.000 0.000 0.000 7.238" Properties=species:S:1:pos:R:3 comment="YErAu2 (PBE, relaxed)" vol_a3_per_fu=92.34 magnetic_moment_mub_per_cell=0.00 pbc="T T T"
Au 0.000 0.000 5.493
Er 1.786 1.786 0.000
Au 0.000 0.000 1.745
Y 1.786 1.786 3.619

---

b:
4
Lattice="-2.032 1.438 -3.115 1.045 -1.028 -3.708 -4.984 -5.747 -1.955" Properties=species:S:1:pos:R:3 comment="YErAu2 (PBE, relaxed)" vol_a3_per_fu=103.40 magnetic_moment_mub_per_cell=0.00 pbc="T T T"
Y -2.999 -2.686 -4.388
Er -5.624 -5.452 -6.505
Au -3.835 -4.295 -2.034
Au -1.481 -1.320 -2.195

---

Most stable to least stable, the ends of the list are a and b.

---

a:
8
Lattice="4.966 0.001 0.000 -2.482 5.969 0.000 0.000 0.000 7.743" Properties=species:S:1:pos:R:3 comment="Y2ErAu (PBE, relaxed)" vol_a3_per_fu=114.78 magnetic_moment_mub_per_cell=0.00 pbc="T T T"
Er 0.000 0.487 5.807
Au 0.000 2.387 1.936
Y 2.484 1.716 0.255
Y 0.001 4.254 7.488
Y 0.001 4.254 4.126
Er 2.485 5.483 1.936
Au 2.485 3.583 5.807
Y 2.484 1.716 3.617

---

b:
4
Lattice="3.622 0.000 0.000 0.000 3.622 0.000 0.000 0.000 8.446" Properties=species:S:1:pos:R:3 comment="Y2ErAu (PBE, relaxed)" vol_a3_per_fu=110.80 magnetic_moment_mub_per_cell=0.00 pbc="T T T"
Y 0.000 0.000 1.767
Y 0.000 0.000 6.679
Er 1.811 1.811 4.223
Au 1.811 1.811 0.000

---

Most stable to least stable, the ends of the list are a and b.

---

a:
4
Lattice="-2.720 1.211 2.256 -3.570 -0.749 -0.809 -1.521 -8.142 5.629" Properties=species:S:1:pos:R:3 comment="Y2ErAu (PBE, relaxed)" vol_a3_per_fu=118.22 magnetic_moment_mub_per_cell=0.62 pbc="T T T"
Au -4.192 0.294 0.974
Y -1.642 -6.402 4.550
Er -3.907 -3.824 3.528
Y -1.976 -1.589 1.564

---

b:
16
Lattice="6.680 0.000 0.000 0.000 6.956 0.000 0.000 0.000 9.733" Properties=species:S:1:pos:R:3 comment="Y2ErAu (PBE, relaxed)" vol_a3_per_fu=113.07 magnetic_moment_mub_per_cell=0.00 pbc="T T T"
Au 3.564 0.600 7.300
Y 5.371 2.102 9.199
Y 4.649 5.580 5.401
Er 4.124 3.593 2.433
Er 0.784 6.842 7.300
Er 5.896 0.115 2.433
Y 4.649 5.580 9.199
Au 3.116 6.356 2.433
Y 1.309 4.854 0.534
Y 1.309 4.854 4.333
Au 6.456 4.079 7.300
Au 0.224 2.878 2.433
Y 5.371 2.102 5.401
Y 2.031 1.376 0.534
Y 2.031 1.376 4.333
Er 2.556 3.364 7.300

---

Most stable to least stable, the ends of the list are b and a.

---

a:
12
Lattice="7.005 0.000 0.000 0.000 7.235 0.000 -3.502 -3.617 6.901" Properties=species:S:1:pos:R:3 comment="YEr3Au2 (PBE, relaxed)" vol_a3_per_fu=174.85 magnetic_moment_mub_per_cell=0.00 pbc="T T T"
Au 1.433 0.000 4.938
Au 2.069 3.617 1.963
Au 4.935 0.000 1.963
Y 0.000 3.617 0.000
Er 3.502 1.809 3.676
Er 0.000 5.426 3.225
Er 3.502 1.809 0.000
Er 0.000 1.809 3.225
Au -1.433 3.617 4.938
Er 3.502 5.426 0.000
Y 0.000 0.000 0.000
Er 3.502 -1.809 3.676

---

b:
12
Lattice="-1.278 0.230 -4.753 -3.890 -5.892 0.761 -7.060 4.937 2.137" Properties=species:S:1:pos:R:3 comment="YEr3Au2 (PBE, relaxed)" vol_a3_per_fu=155.25 magnetic_moment_mub_per_cell=0.00 pbc="T T T"
Y -3.712 2.142 -1.452
Au -5.399 -2.733 1.319
Au -2.646 -0.586 -1.871
Er -8.053 -1.702 2.083
Au -5.595 1.710 1.587
Y -6.681 -0.088 -0.762
Er -3.686 -0.450 0.969
Er -8.429 1.713 2.349
Er -4.353 -5.443 0.907
Er -7.083 3.341 -0.488
Er -4.356 -2.872 -1.521
Au -9.538 -0.072 0.007

---

Most stable to least stable, the ends of the list are b and a.

---

a:
14
Lattice="6.976 0.000 0.000 0.000 6.976 0.000 0.000 0.000 6.976" Properties=species:S:1:pos:R:3 comment="ErZn3Au3 (PBE, relaxed)" vol_a3_per_fu=169.73 magnetic_moment_mub_per_cell=0.00 pbc="T T T"
Zn 1.744 3.488 0.000
Au 0.000 3.488 5.232
Au 3.488 5.232 0.000
Au 1.744 0.000 3.488
Zn 5.232 3.488 0.000
Zn 3.488 0.000 5.232
Zn 0.000 5.232 3.488
Au 3.488 1.744 0.000
Zn 3.488 0.000 1.744
Er 3.488 3.488 3.488
Au 5.232 0.000 3.488
Zn 0.000 1.744 3.488
Au 0.000 3.488 1.744
Er 0.000 0.000 0.000

---

b:
14
Lattice="-1.227 -4.155 -1.285 -0.722 2.626 -7.804 6.930 -2.987 3.041" Properties=species:S:1:pos:R:3 comment="ErZn3Au3 (PBE, relaxed)" vol_a3_per_fu=127.52 magnetic_moment_mub_per_cell=0.00 pbc="T T T"
Zn 0.415 -3.228 -1.878
Er 1.561 -0.293 -4.516
Zn 5.293 -3.968 -4.144
Er 3.420 -4.223 -1.531
Zn 4.547 -5.435 1.313
Zn 4.566 -1.288 -4.169
Au 4.085 -2.745 1.001
Au 5.729 -2.322 -1.936
Zn 0.434 0.918 -7.360
Au 0.897 -1.772 -7.048
Au -0.747 -2.195 -4.111
Au 2.427 -1.367 -1.870
Zn -0.311 -0.548 -1.903
Au 2.555 -3.149 -4.178

---

c:
14
Lattice="-3.884 1.604 5.611 0.464 -3.891 5.813 3.405 2.912 5.904" Properties=species:S:1:pos:R:3 comment="ErZn3Au3 (PBE, relaxed)" vol_a3_per_fu=132.14 magnetic_moment_mub_per_cell=0.00 pbc="T T T"
Au 0.305 -1.820 6.213
Au -0.320 2.446 11.116
Au -1.575 -1.918 10.460
Zn -1.990 0.768 9.903
Er -2.213 -1.470 7.647
Zn -0.357 0.772 6.354
Zn 0.342 -0.147 10.975
Au 2.825 -0.747 9.893
Au 1.560 2.544 6.869
Zn 0.647 -1.958 8.962
Er 2.198 2.096 9.682
Zn -0.662 2.584 8.366
Au -2.840 1.373 7.435
Zn 1.975 -0.142 7.425

---

Most stable to least stable, the ends of the list are c and a.

---

a:
24
Lattice="6.283 0.000 2.892 3.141 7.585 1.446 -0.031 0.000 8.337" Properties=species:S:1:pos:R:3 comment="ErZn9Au2 (PBE, relaxed)" vol_a3_per_fu=198.98 magnetic_moment_mub_per_cell=0.00 pbc="T T T"
Zn 6.021 4.453 4.211
Zn 3.942 3.132 8.727
Zn 3.958 0.660 4.558
Zn 7.277 6.278 8.252
Zn 4.151 5.100 2.638
Zn 1.546 1.307 4.160
Zn 2.309 3.132 2.502
Zn 5.258 6.278 5.869
Zn 2.864 6.925 6.933
Er 3.141 0.000 1.446
Zn 0.000 0.000 0.000
Zn 6.513 4.453 9.910
Au 6.259 1.896 9.145
Au 4.689 5.689 8.422
Au 6.275 1.896 4.977
Er 3.126 3.793 5.614
Zn 6.267 3.793 7.061
Au 7.846 5.689 5.700
Zn 3.387 6.925 4.296
Zn 2.101 5.100 8.591
Zn 1.531 2.486 8.329
Zn 4.706 1.307 7.069
Zn 4.721 2.486 2.900
Zn 2.294 0.660 6.671

---

b:
12
Lattice="3.106 0.000 0.000 0.000 8.731 0.000 0.000 -4.365 7.561" Properties=species:S:1:pos:R:3 comment="ErZn9Au2 (PBE, relaxed)" vol_a3_per_fu=205.02 magnetic_moment_mub_per_cell=0.00 pbc="T T T"
Au 0.000 0.000 5.041
Zn 0.000 2.183 3.781
Zn 1.553 6.376 1.359
Er 0.000 0.000 0.000
Zn 1.553 2.011 6.202
Zn 1.553 4.365 4.843
Zn 1.553 2.354 1.359
Au 0.000 4.365 2.520
Zn 0.000 4.365 0.000
Zn 1.553 0.000 2.718
Zn 0.000 -2.183 3.781
Zn 1.553 -2.011 6.202

---

Most stable to least stable, the ends of the list are a and b.

---

a:
8
Lattice="-1.945 0.924 2.834 0.844 -3.075 1.582 11.293 6.070 5.773" Properties=species:S:1:pos:R:3 comment="Er4Zn3Au (PBE, relaxed)" vol_a3_per_fu=178.11 magnetic_moment_mub_per_cell=0.00 pbc="T T T"
Er 9.875 5.308 5.048
Er 1.418 0.762 0.725
Au -0.551 -1.075 2.208
Er 4.242 2.280 2.168
Zn 5.096 1.960 5.094
Zn 2.319 0.467 3.674
Er 7.052 3.790 3.605
Zn 7.873 3.452 6.514

---

b:
8
Lattice="3.686 0.000 0.000 0.000 4.514 0.000 0.000 0.000 11.056" Properties=species:S:1:pos:R:3 comment="Er4Zn3Au (PBE, relaxed)" vol_a3_per_fu=183.97 magnetic_moment_mub_per_cell=0.00 pbc="T T T"
Zn 1.843 0.000 10.190
Er 1.843 2.257 3.871
Zn 0.000 0.000 4.731
Er 1.843 0.000 7.194
Er 0.000 2.257 9.429
Au 1.843 2.257 0.855
Zn 0.000 2.257 6.333
Er 0.000 0.000 1.621

---

Most stable to least stable, the ends of the list are a and b.

---

a:
13
Lattice="7.380 0.256 0.183 3.782 6.343 0.183 3.782 2.236 5.939" Properties=species:S:1:pos:R:3 comment="ErZn4Au8 (PBE, relaxed)" vol_a3_per_fu=266.59 magnetic_moment_mub_per_cell=0.00 pbc="T T T"
Au 8.198 2.434 1.737
Au 6.084 6.010 1.737
Er 0.000 0.000 0.000
Au 8.860 5.238 1.186
Au 6.746 6.401 4.567
Zn 5.581 1.246 3.061
Au 6.084 3.597 5.118
Au 8.860 2.825 4.567
Zn 3.782 4.289 3.061
Au 3.737 2.209 1.576
Zn 5.581 3.299 0.183
Au 11.207 6.626 4.728
Zn 7.472 4.417 3.152

---

b:
13
Lattice="-2.207 -3.811 3.199 4.865 -4.205 2.977 -0.716 2.160 6.710" Properties=species:S:1:pos:R:3 comment="ErZn4Au8 (PBE, relaxed)" vol_a3_per_fu=232.97 magnetic_moment_mub_per_cell=0.00 pbc="T T T"
Au 1.663 -4.335 9.876
Au 3.032 -2.115 4.203
Au 2.061 -2.625 7.556
Au 1.116 0.070 5.484
Er 0.000 0.000 0.000
Zn -0.358 1.080 3.355
Au -0.120 -3.231 5.330
Au -0.606 -1.130 7.498
Au 0.278 -1.522 3.010
Zn 2.432 -2.103 1.488
Zn 1.329 -4.008 3.088
Zn -1.462 -0.826 4.955
Au 2.548 -4.727 5.388

---

Most stable to least stable, the ends of the list are b and a.